This record from Alexandria describes an optimized crystal structure of KZr2Mo. The functional is GGA-PBE.

## Properties
- N(E_F): 4.573 states/eV/f.u.
- Energy above the most stable polymorph in this dataset: 0.760 eV/atom
- ΔE_f: 4.19 eV/f.u.

Lattice parameters (Å, degrees): 6.048 6.048 2.737 90.00 90.00 114.28
Element x y z (fractional)
K  0.500  0.000  0.500
Mo  0.000  0.500  0.500
Zr  0.000  0.000  0.000
Zr  0.500  0.500  0.000

=====

This record from Alexandria describes an optimized crystal structure of Ba2TaTl3S6. The functional is GGA-PBE.

## Properties
- Energy relative to the elements, uncorrected: -25.5 kcal/mol of atoms

Lattice parameters (Å, degrees): 7.524 7.524 7.543 99.22 99.22 119.89
Element x y z (fractional)
Ba  0.332  0.668  0.000
Ba  0.668  0.332  0.000
Ta  0.000  0.000  0.000
Tl  0.158  0.842  0.500
Tl  0.842  0.158  0.500
Tl  0.500  0.500  0.500
S  0.931  0.665  0.799
S  0.798  0.798  0.214
S  0.069  0.335  0.201
S  0.665  0.931  0.799
S  0.202  0.202  0.786
S  0.335  0.069  0.201

=====

This record from Alexandria describes an optimized crystal structure of NdYSc2. The functional is GGA-PBE.

## Properties
- N(E_F): 5.432 states/eV/f.u.
- Energy above the most stable polymorph in this dataset: 0.023 eV/atom
- ΔE_f: 0.32 eV/f.u.

Lattice parameters (Å, degrees): 5.469 5.469 5.469 60.00 60.00 60.00
Element x y z (fractional)
Y  0.500  0.500  0.500
Sc  0.250  0.250  0.250
Sc  0.750  0.750  0.750
Nd  0.000  0.000  0.000